This record from the Alexandria database describes a relaxed ScFeNiSn crystal. The functional is GGA-PBE.

Calculated values
The value obtained for the formation energy is -0.32 eV/atom. As for the mass density: 7573 kg/m3.

Geometry as POSCAR:
```
ScFeNiSn
1.0
4.419 0.000 0.000
2.209 3.827 0.000
2.209 1.276 3.608
Sc Ni Sn Fe
1 1 1 1
direct
0.750 0.750 0.750 Sc
0.500 0.500 0.500 Ni
0.250 0.250 0.250 Sn
0.000 0.000 0.000 Fe
```